Record 1
Here is SbRuW2 after structural relaxation from Alexandria via LeMat-Bulk. Energies are from PBEsol. Values from VASP.

```
&SYSTEM
  ibrav = 0, nat = 4, ntyp = 3
/
ATOMIC_SPECIES
Sb 121.76 Sb.upf
Ru 101.07 Ru.upf
W 183.84 W.upf
CELL_PARAMETERS angstrom
-1.9077 1.9077 4.3779
1.9077 -1.9077 4.3779
1.9077 1.9077 -4.3779
ATOMIC_POSITIONS angstrom
Sb 0.0000 0.0000 0.0000
Ru 0.0000 0.0000 4.3779
W 1.9077 0.0000 2.1889
W 0.0000 1.9077 2.1889
```

Results
symmetry = I4/mmm (139)
ΔE_f (raw) = 0.318 eV per atom
uncorrected energy = -10.27 eV/atom
Fermi-level density of states = 1.8 states/eV/cell


Record 2
Here is Y3SbRu after structural relaxation from Alexandria via LeMat-Bulk. Energies are from PBEsol. Values from VASP.

```
&SYSTEM
  ibrav = 0, nat = 5, ntyp = 3
/
ATOMIC_SPECIES
Y 88.91 Y.upf
Sb 121.76 Sb.upf
Ru 101.07 Ru.upf
CELL_PARAMETERS angstrom
5.4940 0.0000 0.0000
0.0000 5.4940 0.0000
0.0000 0.0000 5.4940
ATOMIC_POSITIONS angstrom
Y 0.0000 0.0000 2.7470
Y 0.0000 2.7470 0.0000
Y 2.7470 0.0000 0.0000
Sb 0.0000 0.0000 0.0000
Ru 2.7470 2.7470 2.7470
```

Results
symmetry = Pm-3m (221)
ΔE_f (raw) = 0.813 eV per atom
uncorrected energy = -6.23 eV/atom
Fermi-level density of states = 6.5 states/eV/cell


Record 3
Here is Y2SbRu2 after structural relaxation from Alexandria via LeMat-Bulk. Energies are from PBEsol. Values from VASP.

```
&SYSTEM
  ibrav = 0, nat = 5, ntyp = 3
/
ATOMIC_SPECIES
Y 88.91 Y.upf
Sb 121.76 Sb.upf
Ru 101.07 Ru.upf
CELL_PARAMETERS angstrom
-1.7979 1.7979 8.4788
1.7979 -1.7979 8.4788
1.7979 1.7979 -8.4788
ATOMIC_POSITIONS angstrom
Y 0.0000 0.0000 1.9287
Y 0.0000 0.0000 15.0290
Sb 0.0000 0.0000 8.4788
Ru 1.7979 0.0000 4.2394
Ru 0.0000 1.7979 4.2394
```

Results
symmetry = I4/mmm (139)
ΔE_f (raw) = -0.205 eV per atom
uncorrected energy = -7.91 eV/atom
Fermi-level density of states = 6.2 states/eV/cell


Record 4
Here is Zn2SbRu after structural relaxation from Alexandria via LeMat-Bulk. Energies are from PBEsol. Values from VASP.

```
&SYSTEM
  ibrav = 0, nat = 4, ntyp = 3
/
ATOMIC_SPECIES
Zn 65.41 Zn.upf
Sb 121.76 Sb.upf
Ru 101.07 Ru.upf
CELL_PARAMETERS angstrom
2.6025 -3.8090 0.0000
2.6025 3.8090 0.0000
0.0000 0.0000 3.2160
ATOMIC_POSITIONS angstrom
Zn 1.3013 1.9045 0.0000
Zn 1.3013 -1.9045 0.0000
Sb 0.0000 0.0000 1.6080
Ru 2.6025 0.0000 1.6080
```

Results
symmetry = Cmmm (65)
ΔE_f (raw) = 0.187 eV per atom
uncorrected energy = -4.29 eV/atom
Fermi-level density of states = 2.0 states/eV/cell


Record 5
Here is ZnSbRu after structural relaxation from Alexandria via LeMat-Bulk. Energies are from PBEsol. Values from VASP.

```
&SYSTEM
  ibrav = 0, nat = 3, ntyp = 3
/
ATOMIC_SPECIES
Zn 65.41 Zn.upf
Sb 121.76 Sb.upf
Ru 101.07 Ru.upf
CELL_PARAMETERS angstrom
0.0000 2.9936 2.9936
2.9936 0.0000 2.9936
2.9936 2.9936 0.0000
ATOMIC_POSITIONS angstrom
Zn 0.0000 0.0000 0.0000
Sb 4.4904 4.4904 4.4904
Ru 1.4968 1.4968 1.4968
```

Results
symmetry = F-43m (216)
ΔE_f (raw) = 0.504 eV per atom
uncorrected energy = -4.93 eV/atom
polymorph energy (0 for the lowest one) = 0.5204 eV/atom
Fermi-level density of states = 2.1 states/eV/cell


Record 6
Here is Zn2SbRu after structural relaxation from Alexandria via LeMat-Bulk. Energies are from PBEsol. Values from VASP.

```
&SYSTEM
  ibrav = 0, nat = 4, ntyp = 3
/
ATOMIC_SPECIES
Zn 65.41 Zn.upf
Sb 121.76 Sb.upf
Ru 101.07 Ru.upf
CELL_PARAMETERS angstrom
1.5392 0.8887 8.2734
-1.5392 0.8887 8.2734
0.0000 -1.7774 8.2734
ATOMIC_POSITIONS angstrom
Zn 0.0000 0.0000 0.0000
Zn 0.0000 0.0000 6.3090
Sb 0.0000 0.0000 19.0016
Ru 0.0000 0.0000 12.6614
```

Results
symmetry = R3m (160)
ΔE_f (raw) = 0.178 eV per atom
uncorrected energy = -4.30 eV/atom
Fermi-level density of states = 1.8 states/eV/cell


Record 7
Here is Zn11SbRu3 after structural relaxation from Alexandria via LeMat-Bulk. Energies are from PBEsol. Values from VASP.

```
&SYSTEM
  ibrav = 0, nat = 30, ntyp = 3
/
ATOMIC_SPECIES
Zn 65.41 Zn.upf
Sb 121.76 Sb.upf
Ru 101.07 Ru.upf
CELL_PARAMETERS angstrom
16.6588 0.0000 0.0000
0.0000 3.3663 3.9034
0.0000 -3.3663 3.9034
ATOMIC_POSITIONS angstrom
Zn 0.0000 0.0000 0.0000
Zn 0.0000 0.0000 3.5197
Zn 0.1787 1.4292 5.6710
Zn 2.0148 -0.1085 1.6226
Zn 2.1273 -0.3992 6.2550
Zn 2.7211 0.8446 3.9742
Zn 4.1647 -1.6652 5.4808
Zn 5.6083 0.8446 3.9742
Zn 6.2021 -0.3992 6.2550
Zn 6.3146 -0.1085 1.6226
Zn 8.1507 1.4292 5.6710
Zn 8.3294 0.0000 0.0000
Zn 8.3294 0.0000 3.5197
Zn 8.5081 -1.4292 5.6710
Zn 10.3442 0.1085 1.6226
Zn 10.4567 0.3992 6.2550
Zn 11.0505 -0.8446 3.9742
Zn 12.4941 1.6652 5.4808
Zn 13.9377 -0.8446 3.9742
Zn 14.5315 0.3992 6.2550
Zn 14.6440 0.1085 1.6226
Zn 16.4801 -1.4292 5.6710
Sb 4.1647 -1.5818 2.5831
Sb 12.4941 1.5818 2.5831
Ru 1.8567 -1.5688 3.8691
Ru 4.1647 2.9121 4.0076
Ru 6.4727 -1.5688 3.8691
Ru 10.1862 1.5688 3.8691
Ru 12.4941 -2.9121 4.0076
Ru 14.8021 1.5688 3.8691
```

Results
symmetry = Ama2 (40)
ΔE_f (raw) = -0.131 eV per atom
uncorrected energy = -3.63 eV/atom
Fermi-level density of states = 7.3 states/eV/cell


Record 8
Here is Zn2SbRu after structural relaxation from Alexandria via LeMat-Bulk. Energies are from PBEsol. Values from VASP.

```
&SYSTEM
  ibrav = 0, nat = 4, ntyp = 3
/
ATOMIC_SPECIES
Zn 65.41 Zn.upf
Sb 121.76 Sb.upf
Ru 101.07 Ru.upf
CELL_PARAMETERS angstrom
3.1784 0.0000 0.0000
0.0000 3.6757 0.0000
0.0000 0.0000 5.4165
ATOMIC_POSITIONS angstrom
Zn 0.0000 0.0000 0.0000
Zn 1.5892 1.8378 1.1141
Sb 1.5892 1.8378 3.7700
Ru 0.0000 0.0000 2.5687
```

Results
symmetry = Pmm2 (25)
ΔE_f (raw) = 0.033 eV per atom
uncorrected energy = -4.44 eV/atom
Fermi-level density of states = 1.7 states/eV/cell


Record 9
Here is ZnSbRu after structural relaxation from Alexandria via LeMat-Bulk. Energies are from PBEsol. Values from VASP.

```
&SYSTEM
  ibrav = 0, nat = 3, ntyp = 3
/
ATOMIC_SPECIES
Zn 65.41 Zn.upf
Sb 121.76 Sb.upf
Ru 101.07 Ru.upf
CELL_PARAMETERS angstrom
0.0000 2.5309 6.6649
1.6040 0.0000 6.6649
1.6040 2.5309 0.0000
ATOMIC_POSITIONS angstrom
Zn 0.0000 0.0000 0.0000
Sb 1.6040 2.5309 9.3548
Ru 1.6040 2.5309 4.7376
```

Results
symmetry = Fmm2 (42)
ΔE_f (raw) = 0.396 eV per atom
uncorrected energy = -5.04 eV/atom
polymorph energy (0 for the lowest one) = 0.4126 eV/atom
Fermi-level density of states = 2.3 states/eV/cell


Record 10
Here is Zn2SbRu after structural relaxation from Alexandria via LeMat-Bulk. Energies are from PBEsol. Values from VASP.

```
&SYSTEM
  ibrav = 0, nat = 4, ntyp = 3
/
ATOMIC_SPECIES
Zn 65.41 Zn.upf
Sb 121.76 Sb.upf
Ru 101.07 Ru.upf
CELL_PARAMETERS angstrom
3.4534 0.0000 0.0000
0.0000 3.4534 0.0000
0.0000 0.0000 5.2906
ATOMIC_POSITIONS angstrom
Zn 0.0000 0.0000 1.1967
Zn 0.0000 0.0000 4.0940
Sb 1.7267 1.7267 2.6453
Ru 1.7267 1.7267 0.0000
```

Results
symmetry = P4/mmm (123)
ΔE_f (raw) = 0.092 eV per atom
uncorrected energy = -4.38 eV/atom
Fermi-level density of states = 2.1 states/eV/cell


Record 11
Here is ZnSbRu after structural relaxation from Alexandria via LeMat-Bulk. Energies are from PBEsol. Values from VASP.

```
&SYSTEM
  ibrav = 0, nat = 3, ntyp = 3
/
ATOMIC_SPECIES
Zn 65.41 Zn.upf
Sb 121.76 Sb.upf
Ru 101.07 Ru.upf
CELL_PARAMETERS angstrom
-1.6105 1.7861 4.1318
1.6105 -1.7861 4.1318
1.6105 1.7861 -4.1318
ATOMIC_POSITIONS angstrom
Zn 0.0000 0.0000 0.0000
Sb 0.0000 0.0000 2.6526
Ru 0.0000 0.0000 5.4704
```

Results
symmetry = Imm2 (44)
ΔE_f (raw) = -0.016 eV per atom
uncorrected energy = -5.45 eV/atom
polymorph energy (0 for the lowest one) = 0.0000 eV/atom
Fermi-level density of states = 1.3 states/eV/cell


Record 12
Here is ZrSb2Ru after structural relaxation from Alexandria via LeMat-Bulk. Energies are from PBEsol. Values from VASP.

```
&SYSTEM
  ibrav = 0, nat = 4, ntyp = 3
/
ATOMIC_SPECIES
Zr 91.22 Zr.upf
Sb 121.76 Sb.upf
Ru 101.07 Ru.upf
CELL_PARAMETERS angstrom
1.6758 0.9675 8.7265
-1.6758 0.9675 8.7265
0.0000 -1.9350 8.7265
ATOMIC_POSITIONS angstrom
Zr 0.0000 0.0000 0.0000
Sb 0.0000 0.0000 13.6720
Sb 0.0000 0.0000 19.7209
Ru 0.0000 0.0000 6.7551
```

Results
symmetry = R3m (160)
ΔE_f (raw) = -0.064 eV per atom
uncorrected energy = -7.16 eV/atom
Fermi-level density of states = 3.1 states/eV/cell


Record 13
Here is ZrSb2Ru after structural relaxation from Alexandria via LeMat-Bulk. Energies are from PBEsol. Values from VASP.

```
&SYSTEM
  ibrav = 0, nat = 4, ntyp = 3
/
ATOMIC_SPECIES
Zr 91.22 Zr.upf
Sb 121.76 Sb.upf
Ru 101.07 Ru.upf
CELL_PARAMETERS angstrom
4.7699 0.0000 0.0000
0.0000 4.7699 0.0000
0.0000 0.0000 3.3504
ATOMIC_POSITIONS angstrom
Zr 0.0000 0.0000 0.0000
Sb 0.0000 2.3849 1.6752
Sb 2.3849 0.0000 1.6752
Ru 2.3849 2.3849 0.0000
```

Results
symmetry = P4/mmm (123)
ΔE_f (raw) = -0.267 eV per atom
uncorrected energy = -7.36 eV/atom
Fermi-level density of states = 3.5 states/eV/cell


Record 14
Here is ZrSb4Ru after structural relaxation from Alexandria via LeMat-Bulk. Energies are from PBEsol. Values from VASP.

```
&SYSTEM
  ibrav = 0, nat = 6, ntyp = 3
/
ATOMIC_SPECIES
Zr 91.22 Zr.upf
Sb 121.76 Sb.upf
Ru 101.07 Ru.upf
CELL_PARAMETERS angstrom
0.0000 4.1599 4.1599
4.1599 0.0000 4.1599
4.1599 4.1599 0.0000
ATOMIC_POSITIONS angstrom
Zr 0.0000 0.0000 0.0000
Sb 3.1230 3.1230 3.1230
Sb 5.1968 5.1968 3.1230
Sb 5.1968 3.1230 5.1968
Sb 3.1230 5.1968 5.1968
Ru 6.2398 6.2398 6.2398
```

Results
symmetry = F-43m (216)
ΔE_f (raw) = 0.826 eV per atom
uncorrected energy = -5.42 eV/atom
Fermi-level density of states = 5.6 states/eV/cell


Record 15
Here is Zr5Sb3Ru after structural relaxation from Alexandria via LeMat-Bulk. Energies are from PBEsol. Values from VASP.

```
&SYSTEM
  ibrav = 0, nat = 18, ntyp = 3
/
ATOMIC_SPECIES
Zr 91.22 Zr.upf
Sb 121.76 Sb.upf
Ru 101.07 Ru.upf
CELL_PARAMETERS angstrom
8.6031 0.0000 0.0000
-4.3015 7.4505 0.0000
0.0000 0.0000 5.7949
ATOMIC_POSITIONS angstrom
Zr -1.1060 1.9157 1.4487
Zr -3.1955 5.5348 4.3462
Zr 2.2121 0.0000 1.4487
Zr 1.1060 1.9157 4.3462
Zr 0.0000 4.9670 0.0000
Zr 0.0000 4.9670 2.8975
Zr 4.3015 2.4835 0.0000
Zr 4.3015 2.4835 2.8975
Zr 6.3910 0.0000 4.3462
Zr 3.1955 5.5348 1.4487
Sb -1.6911 2.9291 4.3462
Sb -2.6104 4.5214 1.4487
Sb 3.3822 0.0000 4.3462
Sb 1.6911 2.9291 1.4487
Sb 5.2209 0.0000 1.4487
Sb 2.6104 4.5214 4.3462
Ru 0.0000 0.0000 0.0000
Ru 0.0000 0.0000 2.8975
```

Results
symmetry = P6_3/mcm (193)
ΔE_f (raw) = -0.692 eV per atom
uncorrected energy = -8.39 eV/atom
Fermi-level density of states = 17.5 states/eV/cell


Record 16
Here is ZrSb2Ru after structural relaxation from Alexandria via LeMat-Bulk. Energies are from PBEsol. Values from VASP.

```
&SYSTEM
  ibrav = 0, nat = 4, ntyp = 3
/
ATOMIC_SPECIES
Zr 91.22 Zr.upf
Sb 121.76 Sb.upf
Ru 101.07 Ru.upf
CELL_PARAMETERS angstrom
1.6111 0.9302 8.7646
-1.6111 0.9302 8.7646
0.0000 -1.8604 8.7646
ATOMIC_POSITIONS angstrom
Zr 0.0000 0.0000 0.0000
Sb 0.0000 0.0000 6.3327
Sb 0.0000 0.0000 19.9610
Ru 0.0000 0.0000 13.1469
```

Results
symmetry = R-3m (166)
ΔE_f (raw) = -0.096 eV per atom
uncorrected energy = -7.19 eV/atom
Fermi-level density of states = 3.2 states/eV/cell


Record 17
Here is Sc5Ru after structural relaxation from Alexandria via LeMat-Bulk. Energies are from PBEsol. Values from VASP.

```
&SYSTEM
  ibrav = 0, nat = 6, ntyp = 2
/
ATOMIC_SPECIES
Sc 44.96 Sc.upf
Ru 101.07 Ru.upf
CELL_PARAMETERS angstrom
5.5133 -1.6348 0.0000
5.5133 1.6348 0.0000
-2.7847 0.0000 7.0158
ATOMIC_POSITIONS angstrom
Sc 0.0000 0.0000 0.0000
Sc 3.1186 0.0000 1.4780
Sc 2.2369 0.0000 4.4537
Sc 6.0051 0.0000 2.5622
Sc 5.1234 0.0000 5.5378
Ru -1.3923 0.0000 3.5079
```

Results
symmetry = C2/m (12)
ΔH_f (0 K) = -0.205 eV/atom
uncorrected energy = -7.40 eV/atom
Fermi-level density of states = 7.6 states/eV/cell


Record 18
Here is ScRu after structural relaxation from Alexandria via LeMat-Bulk. Energies are from PBEsol. Values from VASP.

```
&SYSTEM
  ibrav = 0, nat = 4, ntyp = 2
/
ATOMIC_SPECIES
Sc 44.96 Sc.upf
Ru 101.07 Ru.upf
CELL_PARAMETERS angstrom
-1.5745 2.1678 4.7225
1.5745 -2.1678 4.7225
1.5745 2.1678 -4.7225
ATOMIC_POSITIONS angstrom
Sc 0.0000 1.0839 1.0804
Sc 1.5745 1.0839 3.6421
Ru 1.5745 1.0839 -1.2779
Ru 0.0000 1.0839 6.0004
```

Results
symmetry = Imma (74)
ΔH_f (0 K) = -0.409 eV/atom
uncorrected energy = -8.80 eV/atom
Fermi-level density of states = 1.9 states/eV/cell


Record 19
Here is Sc11Ru4 after structural relaxation from Alexandria via LeMat-Bulk. Energies are from PBEsol. Values from VASP.

```
&SYSTEM
  ibrav = 0, nat = 30, ntyp = 2
/
ATOMIC_SPECIES
Sc 44.96 Sc.upf
Ru 101.07 Ru.upf
CELL_PARAMETERS angstrom
0.0000 6.5915 6.5915
6.5915 0.0000 6.5915
6.5915 6.5915 0.0000
ATOMIC_POSITIONS angstrom
Sc 8.1312 5.0519 5.0519
Sc 2.0578 2.0578 2.0578
Sc 4.5337 4.5337 2.0578
Sc 4.5337 2.0578 4.5337
Sc 6.5915 6.5915 2.6154
Sc 6.5915 2.6154 6.5915
Sc 10.5677 6.5915 6.5915
Sc 5.0519 5.0519 5.0519
Sc 8.1312 8.1312 5.0519
Sc 8.1312 5.0519 8.1312
Sc 11.1253 8.6494 8.6494
Sc 2.0578 4.5337 4.5337
Sc 5.0519 8.1312 5.0519
Sc 5.0519 5.0519 8.1312
Sc 8.1312 8.1312 8.1312
Sc 2.6154 6.5915 6.5915
Sc 6.5915 10.5677 6.5915
Sc 6.5915 6.5915 10.5677
Sc 8.6494 11.1253 8.6494
Sc 8.6494 8.6494 11.1253
Sc 11.1253 11.1253 11.1253
Sc 5.0519 8.1312 8.1312
Ru 0.0000 0.0000 0.0000
Ru 3.2958 3.2958 0.0000
Ru 3.2958 0.0000 3.2958
Ru 6.5915 3.2958 3.2958
Ru 0.0000 3.2958 3.2958
Ru 3.2958 6.5915 3.2958
Ru 3.2958 3.2958 6.5915
Ru 6.5915 6.5915 6.5915
```

Results
symmetry = Fm-3m (225)
ΔH_f (0 K) = -0.372 eV/atom
uncorrected energy = -7.93 eV/atom
Fermi-level density of states = 21.5 states/eV/cell


Record 20
Here is ScRu after structural relaxation from Alexandria via LeMat-Bulk. Energies are from PBEsol. Values from VASP.

```
&SYSTEM
  ibrav = 0, nat = 4, ntyp = 2
/
ATOMIC_SPECIES
Sc 44.96 Sc.upf
Ru 101.07 Ru.upf
CELL_PARAMETERS angstrom
2.9980 0.0000 0.0000
-1.4990 2.5964 0.0000
0.0000 0.0000 8.9644
ATOMIC_POSITIONS angstrom
Sc 0.0000 1.7309 3.0109
Sc 1.4990 0.8655 5.9535
Ru 0.0000 1.7309 7.9719
Ru 1.4990 0.8655 0.9925
```

Results
symmetry = P-3m1 (164)
ΔH_f (0 K) = 0.121 eV/atom
uncorrected energy = -8.27 eV/atom
Fermi-level density of states = 3.2 states/eV/cell